Li6CoNiP2C2O14: relaxed, PBE+U.

As for the total DFT energy (no corrections): -168.291 eV for the cell shown. The calculation puts the density of states at the Fermi level at 0.0 states/eV per cell.

CIF file:
```
data_Li6CoNiP2C2O14
_space_group_name_H-M_alt 'P 1'
_space_group_IT_number 1
_cell_length_a 4.985
_cell_length_b 6.422
_cell_length_c 8.436
_cell_angle_alpha 90.00
_cell_angle_beta 95.71
_cell_angle_gamma 90.00
loop_
_space_group_symop_operation_xyz
'x,y,z'
loop_
_atom_site_label
_atom_site_type_symbol
_atom_site_fract_x
_atom_site_fract_y
_atom_site_fract_z
Li1 Li 0.000 0.000 0.000
Li2 Li 0.061 0.264 0.622
Li3 Li 0.061 0.736 0.622
Li4 Li 0.527 0.234 0.169
Li5 Li 0.527 0.766 0.169
Li6 Li 0.587 0.500 0.791
Co1 Co 0.585 0.000 0.561
Ni1 Ni 0.001 0.500 0.228
P1 P 0.063 0.000 0.307
P2 P 0.523 0.500 0.482
C1 C 0.113 0.500 0.938
C2 C 0.472 0.000 0.855
O1 O 0.184 0.500 0.794
O2 O 0.208 0.500 0.458
O3 O 0.289 0.000 0.732
O4 O 0.295 0.500 0.061
O5 O 0.378 0.000 0.328
O6 O 0.401 0.000 0.998
O7 O 0.629 0.313 0.588
O8 O 0.629 0.687 0.588
O9 O 0.631 0.500 0.317
O10 O 0.723 0.000 0.827
O11 O 0.863 0.500 0.967
O12 O 0.956 0.188 0.202
O13 O 0.956 0.812 0.202
O14 O 0.960 0.000 0.473
```